Entry 1:
Here is a relaxed structure of RhW from Alexandria via LeMat-Bulk. Energies are from PBE-GGA.

Properties
The value obtained for the uncorrected energy is -10.221 eV/atom. The density of states at the Fermi level comes out at 2.145 states/eV/f.u. The calculated volume is 30 Å³/cell. Its formation energy is -0.068 eV/atom.

Cell and atoms, written as CIF:
```
data_RhW
_chemical_formula_sum 'Rh1 W1'
_cell_length_a 2.7971
_cell_length_b 2.7971
_cell_length_c 4.4612
_cell_angle_alpha 90.00
_cell_angle_beta 90.00
_cell_angle_gamma 120.00
_space_group_name_H-M_alt 'P -6 m 2'
_space_group_IT_number 187
_space_group_name_Hall 'P -6 2'
loop_
_atom_site_label
_atom_site_fract_x
_atom_site_fract_y
_atom_site_fract_z
_atom_site_occupancy
Rh1 0.0000 0.0000 0.0000 1
W1 0.3333 0.6667 0.5000 1
```

***

Entry 2:
Here is a relaxed structure of Rh4W5 from Alexandria via LeMat-Bulk. Energies are from PBE-GGA.

Properties
The value obtained for the uncorrected energy is -10.451 eV/atom. The energy relative to the lowest polymorph listed for this composition comes out at 0 meV per atom. The density of states at the Fermi level comes out at 9.237 states/eV/f.u. The calculated volume is 275 Å³/cell. Its formation energy is 0.012 eV/atom.

Cell and atoms, written as CIF:
```
data_Rh4W5
_chemical_formula_sum 'Rh8 W10'
_cell_length_a 8.345
_cell_length_b 8.345
_cell_length_c 3.952
_cell_angle_alpha 90.00
_cell_angle_beta 90.00
_cell_angle_gamma 90.00
_space_group_name_H-M_alt 'I 4/m m m'
_space_group_IT_number 139
_space_group_name_Hall '-I 4 2'
loop_
_atom_site_label
_atom_site_fract_x
_atom_site_fract_y
_atom_site_fract_z
_atom_site_occupancy
Rh1 0.000 0.331 0.000 1
W1 0.000 0.000 0.000 1
W2 0.170 0.170 0.500 1
```

***

Entry 3:
Here is a relaxed structure of RhW from Alexandria via LeMat-Bulk. Energies are from PBE-GGA.

Properties
The value obtained for the uncorrected energy is -10.204 eV/atom. The density of states at the Fermi level comes out at 1.751 states/eV/f.u. The calculated volume is 61 Å³/cell. Its formation energy is -0.052 eV/atom.

Cell and atoms, written as CIF:
```
data_RhW
_chemical_formula_sum 'Rh2 W2'
_cell_length_a 2.731
_cell_length_b 4.507
_cell_length_c 4.927
_cell_angle_alpha 90.00
_cell_angle_beta 90.00
_cell_angle_gamma 90.00
_space_group_name_H-M_alt 'P m m n'
_space_group_IT_number 59
loop_
_space_group_symop_operation_xyz
'x,y,z'
'-x,-y,-z'
'-x+1/2,-y+1/2,z'
'x+1/2,y+1/2,-z'
'x+1/2,-y,-z'
'-x+1/2,y,z'
'-x,y+1/2,-z'
'x,-y+1/2,z'
loop_
_atom_site_label
_atom_site_fract_x
_atom_site_fract_y
_atom_site_fract_z
_atom_site_occupancy
Rh1 0.250 0.250 0.089 1
W1 0.250 0.750 0.389 1
```

***

Entry 4:
Here is a relaxed structure of RhW from Alexandria via LeMat-Bulk. Energies are from PBE-GGA.

Properties
The value obtained for the uncorrected energy is -9.480 eV/atom. The density of states at the Fermi level comes out at 2.450 states/eV/f.u. The calculated volume is 71 Å³/cell. Its formation energy is 0.672 eV/atom.

Cell and atoms, written as CIF:
```
data_RhW
_chemical_formula_sum 'Rh2 W2'
_cell_length_a 3.9476
_cell_length_b 3.9476
_cell_length_c 5.2576
_cell_angle_alpha 90.00
_cell_angle_beta 90.00
_cell_angle_gamma 120.00
_space_group_name_H-M_alt 'P 63/m m c'
_space_group_IT_number 194
_space_group_name_Hall '-P 6c 2c'
loop_
_atom_site_label
_atom_site_fract_x
_atom_site_fract_y
_atom_site_fract_z
_atom_site_occupancy
Rh1 0.3333 0.6667 0.2500 1
W1 0.0000 0.0000 0.0000 1
```

***

Entry 5:
Here is a relaxed structure of RhW from Alexandria via LeMat-Bulk. Energies are from PBE-GGA.

Properties
The value obtained for the uncorrected energy is -10.235 eV/atom. The density of states at the Fermi level comes out at 1.748 states/eV/f.u. The calculated volume is 120 Å³/cell. Its formation energy is -0.083 eV/atom.

Cell and atoms, written as CIF:
```
data_RhW
_chemical_formula_sum 'Rh4 W4'
_cell_length_a 4.837
_cell_length_b 4.442
_cell_length_c 5.604
_cell_angle_alpha 90.00
_cell_angle_beta 90.00
_cell_angle_gamma 90.00
_space_group_name_H-M_alt 'P n m a'
_space_group_IT_number 62
_space_group_name_Hall '-P 2ac 2n'
loop_
_atom_site_label
_atom_site_fract_x
_atom_site_fract_y
_atom_site_fract_z
_atom_site_occupancy
Rh1 0.083 0.250 0.124 1
W1 0.091 0.250 0.623 1
```

***

Entry 6:
Here is a relaxed structure of RhW2 from Alexandria via LeMat-Bulk. Energies are from PBE-GGA.

Properties
The value obtained for the uncorrected energy is -10.852 eV/atom. The energy relative to the lowest polymorph listed for this composition comes out at 275 meV per atom. The density of states at the Fermi level comes out at 1.986 states/eV/f.u. The calculated volume is 192 Å³/cell. Its formation energy is 0.234 eV/atom.

Cell and atoms, written as CIF:
```
data_RhW2
_chemical_formula_sum 'Rh4 W8'
_cell_length_a 2.748
_cell_length_b 2.748
_cell_length_c 25.364
_cell_angle_alpha 90.00
_cell_angle_beta 90.00
_cell_angle_gamma 90.00
_space_group_name_H-M_alt 'I 41/a m d'
_space_group_IT_number 141
loop_
_space_group_symop_operation_xyz
'x,y,z'
'-x,-y,-z'
'-y+1/4,x+3/4,z+1/4'
'y+1/4,-x+3/4,-z+1/4'
'-x+1/2,-y,z+1/2'
'x+1/2,y,-z+1/2'
'y+1/4,-x+1/4,z+3/4'
'-y+1/4,x+1/4,-z+3/4'
'x,-y,-z'
'-x,y,z'
'-y+1/4,-x+1/4,-z+3/4'
'y+1/4,x+1/4,z+3/4'
'-x+1/2,y,-z+1/2'
'x+1/2,-y,z+1/2'
'y+1/4,x+3/4,-z+1/4'
'-y+1/4,-x+3/4,z+1/4'
'x+1/2,y+1/2,z+1/2'
'-x+1/2,-y+1/2,-z+1/2'
'-y+3/4,x+1/4,z+3/4'
'y+3/4,-x+1/4,-z+3/4'
'-x,-y+1/2,z'
'x,y+1/2,-z'
'y+3/4,-x+3/4,z+1/4'
'-y+3/4,x+3/4,-z+1/4'
'x+1/2,-y+1/2,-z+1/2'
'-x+1/2,y+1/2,z+1/2'
'-y+3/4,-x+3/4,-z+1/4'
'y+3/4,x+3/4,z+1/4'
'-x,y+1/2,-z'
'x,-y+1/2,z'
'y+3/4,x+1/4,-z+3/4'
'-y+3/4,-x+1/4,z+3/4'
loop_
_atom_site_label
_atom_site_fract_x
_atom_site_fract_y
_atom_site_fract_z
_atom_site_occupancy
Rh1 0.000 0.250 0.375 1
W1 0.000 0.250 0.797 1
```